Compound: Ac4RuAu
Source: the Alexandria database
Functional: PBE
Structure: optimized geometry

Unit cell a=7.102 b=7.102 c=8.014 alpha=101.95 beta=101.95 gamma=35.87
Fractional positions:
Ac 0.118 0.118 0.390
Ac 0.375 0.375 0.154
Ac 0.625 0.625 0.846
Ac 0.882 0.882 0.610
Ru 0.500 0.500 0.500
Au 0.000 0.000 0.000

Summary:
* M_tot: 0.0 μB/f.u.
* space-group type: C2/m
* E: -31.08 eV for the cell shown